# 1
This record from Alexandria via LeMat-Bulk describes a relaxed structure of GaPbI3. The functional is PBE.

a = 5.735 Å, b = 5.735 Å, c = 5.735 Å
α = 90.00°, β = 90.00°, γ = 90.00°
Site moments in Bohr magnetons follow the coordinates.
Fractional positions:
I 0.000 0.500 0.000  0.00
I 0.000 0.000 0.500  0.00
I 0.500 0.000 0.000  -0.01
Pb 0.500 0.500 0.500  0.13
Ga 0.000 0.000 0.000  -0.01

Output
Mass density (g/cm3): 5.79
Uncorrected formation energy (eV/atom): -0.123
DFT total energy (eV for the cell shown): -12.00
Total magnetic moment (μB/atom): 0.064



# 2
This record from Alexandria via LeMat-Bulk describes a relaxed structure of Ga2PbI6. The functional is PBE.

a = 7.714 Å, b = 7.714 Å, c = 9.547 Å
α = 66.17°, β = 66.17°, γ = 60.00°
Fractional positions:
I 0.917 0.553 0.258
I 0.724 0.087 0.742
I 0.553 0.273 0.258
I 0.273 0.917 0.258
I 0.447 0.724 0.742
I 0.087 0.447 0.742
Ga 0.286 0.286 0.143
Ga 0.381 0.381 0.856
Pb 0.667 0.667 0.000

Output
Mass density (g/cm3): 4.23
Uncorrected formation energy (eV/atom): -0.545
DFT total energy (eV for the cell shown): -23.96
Total magnetic moment (μB/atom): 0.000